# Ce3TlCd

A relaxed Ce3TlCd crystal (PBE, Alexandria via LeMat-Bulk).

Calculated values
Density of states at the Fermi level in states/eV per atom: 2.4917
Distance to the lowest polymorph of the same formula in eV per formula unit: 0.000
Energy of formation in eV per atom: -0.03
E in eV/atom: -4.24
Total moment in μB per cell: 9.260

Cell lengths 11.792, 4.881, 9.689 Å; angles 90.00, 90.00, 90.00 degrees
Space group Pnma (No. 62)
Inequivalent atoms, fractional coordinates:
Ce 0.133 0.250 0.118 x4
Ce 0.145 0.750 0.676 x4
Ce 0.181 0.250 0.832 x4
Tl 0.049 0.750 0.343 x4
Cd 0.188 0.250 0.471 x4